Density functional theory data (PBE) for a relaxed HgGeAsSe2 crystal.

Its distance to the lowest polymorph of the same formula is 380 meV per atom. The uncorrected formation energy comes out at 19.95 kcal/mol of atoms. As for the total energy: -2.44 eV/atom. The calculation puts the density of states at the Fermi level at 6.06 states/eV/cell. As for the total moment: 0.000 μB/atom.

The space group is P4/mmm (No. 123) and the conventional cell measures 5.2301, 5.2301 and 5.1644 Å, with angles of 90.00, 90.00 and 90.00 degrees. The inequivalent atoms are Hg at (0.0000, 0.0000, 0.0000), Ge at (0.5000, 0.5000, 0.5000), As at (0.0000, 0.0000, 0.5000) and Se at (0.0000, 0.5000, 0.0000).

Density functional theory data (PBE) for a relaxed HgGeAs2Se crystal.

Its distance to the lowest polymorph of the same formula is 385 meV per atom. The uncorrected formation energy comes out at 23.19 kcal/mol of atoms. As for the total energy: -2.53 eV/atom. The calculation puts the density of states at the Fermi level at 4.55 states/eV/cell. As for the total moment: 0.134 μB/atom.

The space group is P4/mmm (No. 123) and the conventional cell measures 5.1456, 5.1456 and 5.3197 Å, with angles of 90.00, 90.00 and 90.00 degrees. The inequivalent atoms are Hg at (0.0000, 0.0000, 0.0000), Ge at (0.5000, 0.5000, 0.5000), As at (0.0000, 0.5000, 0.0000) and Se at (0.0000, 0.0000, 0.5000).

Density functional theory data (PBE) for a relaxed SiHgGe2As4 crystal.

The uncorrected formation energy comes out at 1.64 kcal/mol of atoms. As for the total energy: -4.12 eV/atom. The calculation puts the density of states at the Fermi level at 5.64 states/eV/cell. As for the total moment: 0.000 μB/atom.

The space group is Fmm2 (No. 42) and the conventional cell measures 8.1469, 9.6372 and 9.9875 Å, with angles of 90.00, 90.00 and 90.00 degrees. The inequivalent atoms are Si at (0.0000, 0.0000, 0.0000), Hg at (0.0000, 0.0000, 0.5335), Ge at (0.2500, 0.2500, 0.2461), As at (0.0000, 0.2294, 0.9019) and As at (0.2178, 0.0000, 0.1587).

Density functional theory data (PBE) for a relaxed Sn2HgGeAs4 crystal.

The value obtained for the formation energy is 0.064 eV per atom. As for the total energy: -3.88 eV/atom. The calculation puts the density of states at the Fermi level at 6.11 states/eV/cell. As for the total moment: 0.000 μB/atom.

The space group is I-42m (No. 121) and the conventional cell measures 6.2477, 6.2477 and 12.3559 Å, with angles of 90.00, 90.00 and 90.00 degrees. The inequivalent atoms are Sn at (0.0000, 0.5000, 0.2500), Hg at (0.0000, 0.0000, 0.0000), Ge at (0.0000, 0.0000, 0.5000) and As at (0.2379, 0.2379, 0.3813).

Density functional theory data (PBE) for a relaxed TaHgGeAs2 crystal.

The value obtained for the formation energy is 1.264 eV per atom. As for the total energy: -3.95 eV/atom. The calculation puts the density of states at the Fermi level at 4.54 states/eV/cell. As for the total moment: 0.438 μB/atom.

The space group is P4/mmm (No. 123) and the conventional cell measures 4.9329, 4.9329 and 4.9331 Å, with angles of 90.00, 90.00 and 90.00 degrees. The inequivalent atoms are Ta at (0.0000, 0.0000, 0.0000), Hg at (0.5000, 0.5000, 0.0000), Ge at (0.5000, 0.5000, 0.5000) and As at (0.0000, 0.5000, 0.5000).

Density functional theory data (PBE) for a relaxed HgGeTe3As crystal.

The uncorrected formation energy comes out at 0.51 kcal/mol of atoms. As for the total energy: -3.14 eV/atom. The calculation puts the density of states at the Fermi level at 4.45 states/eV/cell. As for the total moment: 0.000 μB/atom.

The space group is P2_1/m (No. 11) and the conventional cell measures 9.6894, 4.1563 and 10.0903 Å, with angles of 90.00, 104.51 and 90.00 degrees. The inequivalent atoms are Hg at (0.1879, 0.2500, 0.2625), Ge at (0.0544, 0.2500, 0.6505), Te at (0.1393, 0.2500, 0.9231), Te at (0.2080, 0.7500, 0.5739), Te at (0.4713, 0.7500, 0.1669) and As at (0.3436, 0.7500, 0.8904).

Density functional theory data (PBE) for a relaxed ZrHg2GeAs crystal.

The value obtained for the formation energy is 0.517 eV per atom. As for the total energy: -3.17 eV/atom. The calculation puts the density of states at the Fermi level at 4.04 states/eV/cell. As for the total moment: 0.000 μB/atom.

The space group is P4/mmm (No. 123) and the conventional cell measures 5.1303, 5.1303 and 5.1833 Å, with angles of 90.00, 90.00 and 90.00 degrees. The inequivalent atoms are Zr at (0.0000, 0.0000, 0.0000), Hg at (0.0000, 0.5000, 0.5000), Ge at (0.5000, 0.5000, 0.0000) and As at (0.0000, 0.0000, 0.5000).

Density functional theory data (PBE) for a relaxed Ho2GeAs crystal.

Its distance to the lowest polymorph of the same formula is 89 meV per atom. The value obtained for the formation energy is -1.094 eV per atom. As for the total energy: -5.70 eV/atom. The calculation puts the density of states at the Fermi level at 3.23 states/eV/cell. As for the total moment: 0.000 μB/atom.

The space group is R-3m (No. 166, hexagonal axes) and the conventional cell measures 4.0014, 4.0014 and 21.2607 Å, with angles of 90.00, 90.00 and 120.00 degrees. The inequivalent atoms are Ho at (0.0000, 0.0000, 0.2466), Ge at (0.0000, 0.0000, 0.0000) and As at (0.0000, 0.0000, 0.5000).

Q: total moment of number 6 (HgGeTe3As)?
A: 0.000 μB/atom

Q: Which formula does entry 4 have?
A: Sn2HgGeAs4